DyIn2Ni9 GGA-PBE relaxed; excess energy over the best structure of this formula in the dataset = 0 meV per atom
1.0
-1.368 -1.549 -4.374
7.552 1.567 -2.918
2.352 -7.653 1.975
Dy In Ni
2 4 18
Direct
0.000 0.500 0.500
0.000 0.000 0.000
0.000 0.625 0.125
0.000 0.375 0.875
0.000 0.125 0.375
0.000 0.875 0.625
0.500 0.500 0.000
0.500 0.000 0.500
0.500 0.706 0.564
0.500 0.294 0.436
0.500 0.206 0.936
0.500 0.794 0.064
0.500 0.436 0.706
0.500 0.564 0.294
0.500 0.064 0.206
0.500 0.936 0.794
0.751 0.824 0.324
0.751 0.176 0.676
0.751 0.324 0.176
0.751 0.676 0.824
0.249 0.176 0.676
0.249 0.824 0.324
0.249 0.676 0.824
0.249 0.324 0.176

A plane-wave DFT calculation with GGA-PBE was carried out for a relaxed structure of Dy3In5Ni2.

The structure in POSCAR format:
```
Dy3In5Ni2
1.0
4.358 0.000 0.000
0.000 10.050 0.000
0.000 0.000 10.050
Dy In Ni
6 10 4
Direct
0.000 0.328 0.828
0.000 0.672 0.172
0.000 0.172 0.328
0.000 0.828 0.672
0.000 0.000 0.000
0.000 0.500 0.500
0.500 0.215 0.068
0.500 0.785 0.932
0.500 0.932 0.215
0.500 0.068 0.785
0.500 0.285 0.568
0.500 0.715 0.432
0.500 0.568 0.715
0.500 0.432 0.285
0.500 0.000 0.500
0.500 0.500 0.000
0.000 0.127 0.627
0.000 0.873 0.373
0.000 0.373 0.127
0.000 0.627 0.873
```

A plane-wave DFT calculation with GGA-PBE was carried out for a relaxed structure of Dy11In9Ni4.

The structure in POSCAR format:
```
Dy11In9Ni4
1.0
-3.105 -1.162 1.529
-4.571 -3.261 -11.759
6.473 -9.745 5.739
Dy In Ni
11 9 4
Direct
0.000 0.583 0.920
0.000 0.417 0.080
0.000 0.920 0.583
0.000 0.080 0.417
0.000 0.626 0.374
0.000 0.374 0.626
0.000 0.839 0.161
0.000 0.161 0.839
0.000 0.000 0.000
0.000 0.687 0.687
0.000 0.313 0.313
0.500 0.632 0.158
0.500 0.368 0.842
0.500 0.158 0.632
0.500 0.842 0.368
0.500 0.781 0.923
0.500 0.219 0.077
0.500 0.923 0.781
0.500 0.077 0.219
0.500 0.500 0.500
0.500 0.550 0.752
0.500 0.450 0.248
0.500 0.752 0.550
0.500 0.248 0.450
```

Volume: 329.0 440.2 572.2 (Å³ per cell)
D(E_F): 36.5 7.3 14.4 (states/eV per cell)
Total energy: -0.198 -0.159 -0.170 (hartree per atom)